(1)
Na2AgCl5 after structural relaxation. Source: Alexandria, functional PBE-GGA.

distance to the lowest polymorph of the same formula: 0.0 meV/atom
N(E_F): 0.530 states/eV/atom
formation energy from raw total energies: -94.1 kJ/mol of atoms
uncorrected energy: -2.816 eV per atom

abc: 5.6058 7.1477 12.1143
angles: 90.00 90.00 113.09
Closest atoms and distances in Å follow each position.
Atoms (fractional coordinates):
Na 0.8291 0.6583 0.4192  6 Cl 2.74-2.90
Na 0.8291 0.6583 0.0808  6 Cl 2.74-2.90
Na 0.1709 0.3417 0.5808  6 Cl 2.74-2.90
Na 0.1709 0.3417 0.9192  6 Cl 2.74-2.90
Ag 0.8233 0.6466 0.7500  4 Cl 2.41-2.46
Ag 0.1767 0.3534 0.2500  4 Cl 2.41-2.46
Cl 0.9516 0.9031 0.8925  1 Ag 2.41
Cl 0.9516 0.9031 0.6075  1 Ag 2.41
Cl 0.3078 0.6156 0.3953  1 Ag 2.46
Cl 0.3078 0.6156 0.1047  1 Ag 2.46
Cl 0.6905 0.3809 0.2500  2 Na 2.74, 2 Ag 2.81
Cl 0.3095 0.6191 0.7500  2 Na 2.74, 2 Ag 2.81
Cl 0.6922 0.3844 0.6047  1 Ag 2.46
Cl 0.6922 0.3844 0.8953  1 Ag 2.46
Cl 0.0484 0.0969 0.1075  1 Ag 2.41
Cl 0.0484 0.0969 0.3925  1 Ag 2.41

=====

(2)
Na2AgCl6 after structural relaxation. Source: Alexandria, functional PBE-GGA.

N(E_F): 0.439 states/eV/atom
formation energy from raw total energies: -77.8 kJ/mol of atoms
uncorrected energy: -2.647 eV per atom

abc: 6.7339 7.7310 9.1193
angles: 90.00 89.14 90.00
Closest atoms and distances in Å follow each position.
Atoms (fractional coordinates):
Na 0.9925 0.2949 0.8252  7 Cl 2.86-3.07
Na 0.5075 0.7949 0.6748  7 Cl 2.86-3.07
Na 0.4925 0.2051 0.3252  7 Cl 2.86-3.07
Na 0.0075 0.7051 0.1748  7 Cl 2.86-3.07
Ag 0.5000 0.5000 0.0000  6 Cl 2.42-2.57
Ag 0.0000 0.0000 0.5000  6 Cl 2.42-2.57
Cl 0.8752 0.0647 0.2503  1 Ag 2.49, 1 Cl 2.74
Cl 0.8267 0.7054 0.4797  1 Ag 2.57, 1 Cl 2.74, 1 Na 2.86
Cl 0.7950 0.6252 0.8891  1 Ag 2.42
Cl 0.7050 0.1252 0.6109  1 Ag 2.42
Cl 0.6733 0.2054 0.0203  1 Ag 2.57, 1 Cl 2.74, 1 Na 2.86
Cl 0.6248 0.5647 0.2497  1 Ag 2.49, 1 Cl 2.74
Cl 0.1248 0.9353 0.7497  1 Ag 2.49, 1 Cl 2.74
Cl 0.1733 0.2946 0.5203  1 Ag 2.57, 1 Cl 2.74, 1 Na 2.86
Cl 0.2050 0.3748 0.1109  1 Ag 2.42
Cl 0.2950 0.8748 0.3891  1 Ag 2.42
Cl 0.3267 0.7946 0.9797  1 Ag 2.57, 1 Cl 2.74, 1 Na 2.86
Cl 0.3752 0.4353 0.7503  1 Ag 2.49, 1 Cl 2.74

=====

(3)
Na5AgCl7 after structural relaxation. Source: Alexandria, functional PBE-GGA.

N(E_F): 0.610 states/eV/atom
formation energy from raw total energies: -135.6 kJ/mol of atoms
uncorrected energy: -3.127 eV per atom

abc: 3.8611 7.0435 24.6034
angles: 90.16 90.00 105.91
Closest atoms and distances in Å follow each position.
Atoms (fractional coordinates):
Na 0.9786 0.9572 0.9974  6 Cl 2.75-2.97
Na 0.7084 0.4168 0.9317  6 Cl 2.75-2.99
Na 0.2455 0.4910 0.0781  5 Cl 2.75-2.84
Na 0.5508 0.1017 0.3542  6 Cl 2.73-3.03
Na 0.4884 0.9768 0.6358  6 Cl 2.76-3.07
Na 0.0225 0.0450 0.4981  6 Cl 2.74-2.97
Na 0.2919 0.5838 0.4322  6 Cl 2.75-2.99
Na 0.7556 0.5111 0.5783  5 Cl 2.75-2.84
Na 0.4487 0.8975 0.8534  6 Cl 2.73-3.04
Na 0.5131 0.0263 0.1359  5 Cl 2.76-2.94
Ag 0.8182 0.6363 0.2850  4 Cl 2.54-2.59
Ag 0.1810 0.3621 0.7843  4 Cl 2.54-2.58
Cl 0.4244 0.8489 0.2523  2 Ag 2.54
Cl 0.5747 0.1494 0.7514  2 Ag 2.54
Cl 0.6169 0.2339 0.0313  6 Na 2.75-2.94
Cl 0.3495 0.6989 0.9521  5 Na 2.76-2.83
Cl 0.3843 0.7687 0.5318  6 Na 2.75-2.92
Cl 0.6513 0.3026 0.4530  5 Na 2.76-2.83
Cl 0.1431 0.2863 0.1754  3 Na 2.77-2.79
Cl 0.7909 0.5818 0.8193  2 Ag 2.58
Cl 0.8592 0.7183 0.6757  3 Na 2.77-2.79
Cl 0.2083 0.4167 0.3199  2 Ag 2.59
Cl 0.8862 0.7724 0.0966  5 Na 2.75-2.76
Cl 0.0757 0.1513 0.8892  5 Na 2.73-2.97, 1 Ag 2.95
Cl 0.1157 0.2313 0.5973  5 Na 2.74-2.76
Cl 0.9244 0.8487 0.3901  5 Na 2.73-2.97, 1 Ag 2.96

=====

(4)
NaAg3Cl after structural relaxation. Source: Alexandria, functional PBE-GGA.

distance to the lowest polymorph of the same formula: 241.9 meV/atom
N(E_F): 0.575 states/eV/atom
formation energy from raw total energies: 62.8 kJ/mol of atoms
uncorrected energy: -1.693 eV per atom

abc: 5.1289 5.1289 5.1289
angles: 90.00 90.00 90.00
Closest atoms and distances in Å follow each position.
Atoms (fractional coordinates):
Na 0.0000 0.0000 0.0000  6 Ag 2.56
Ag 0.0000 0.5000 0.0000  2 Na 2.56
Ag 0.0000 0.0000 0.5000  2 Na 2.56
Ag 0.5000 0.0000 0.0000  2 Na 2.56
Cl 0.5000 0.5000 0.5000  12 Ag 3.63

=====

(5)
Na3AgCl after structural relaxation. Source: Alexandria, functional PBE-GGA.

distance to the lowest polymorph of the same formula: 245.1 meV/atom
N(E_F): 0.807 states/eV/atom
formation energy from raw total energies: -26.6 kJ/mol of atoms
uncorrected energy: -2.007 eV per atom

abc: 5.6118 5.6118 5.6118
angles: 90.00 90.00 90.00
Closest atoms and distances in Å follow each position.
Atoms (fractional coordinates):
Na 0.0000 0.5000 0.0000  2 Ag 2.81
Na 0.0000 0.0000 0.5000  2 Ag 2.81
Na 0.5000 0.0000 0.0000  2 Ag 2.81
Ag 0.0000 0.0000 0.0000  6 Na 2.81
Cl 0.5000 0.5000 0.5000  12 Na 3.97

=====

(6)
Na3Ag2Cl6 after structural relaxation. Source: Alexandria, functional PBE-GGA.

distance to the lowest polymorph of the same formula: 2.9 meV/atom
N(E_F): 0.692 states/eV/atom
formation energy from raw total energies: -108.4 kJ/mol of atoms
uncorrected energy: -3.009 eV per atom

abc: 6.9114 7.0650 6.6053
angles: 81.59 72.59 60.72
Closest atoms and distances in Å follow each position.
Atoms (fractional coordinates):
Na 0.0000 0.0000 0.0000  6 Cl 2.69-2.90
Na 0.3433 0.3134 0.0000  6 Cl 2.79-2.94
Na 0.6567 0.6866 0.0000  6 Cl 2.79-2.94
Ag 0.1618 0.6763 0.5000  4 Cl 2.53-2.81
Ag 0.8382 0.3237 0.5000  4 Cl 2.53-2.81
Cl 0.3977 0.6442 0.7441  1 Ag 2.53, 1 Na 2.79
Cl 0.7561 0.0000 0.7494  3 Na 2.69-2.80, 2 Ag 2.81
Cl 0.0419 0.3558 0.7441  1 Ag 2.53, 1 Na 2.79
Cl 0.2439 0.0000 0.2506  3 Na 2.69-2.80, 2 Ag 2.81
Cl 0.6023 0.3558 0.2559  1 Ag 2.53, 1 Na 2.79
Cl 0.9581 0.6442 0.2559  1 Ag 2.53, 1 Na 2.79

=====

(7)
NaAgCl4 after structural relaxation. Source: Alexandria, functional PBE-GGA.

distance to the lowest polymorph of the same formula: 0.0 meV/atom
formation energy from raw total energies: -72.9 kJ/mol of atoms
uncorrected energy: -2.681 eV per atom

abc: 4.2869 6.7311 11.4039
angles: 89.23 90.00 90.00
Closest atoms and distances in Å follow each position.
Atoms (fractional coordinates):
Na 0.0000 0.0000 0.5000  6 Cl 2.83-2.89
Na 0.5000 0.5000 0.0000  6 Cl 2.83-2.89
Ag 0.5000 0.5000 0.5000  4 Cl 2.34-2.35
Ag 0.0000 0.0000 0.0000  4 Cl 2.34-2.35
Cl 0.5079 0.2106 0.3882  1 Ag 2.34
Cl 0.0079 0.2894 0.1118  1 Ag 2.34
Cl 0.4921 0.7894 0.6118  1 Ag 2.34
Cl 0.9921 0.7106 0.8882  1 Ag 2.34
Cl 0.8323 0.6586 0.3643  1 Ag 2.35
Cl 0.3323 0.8414 0.1357  1 Ag 2.35
Cl 0.1677 0.3414 0.6357  1 Ag 2.35
Cl 0.6677 0.1586 0.8643  1 Ag 2.35

=====

(8)
NaAgCl4 after structural relaxation. Source: Alexandria, functional PBE-GGA.

distance to the lowest polymorph of the same formula: 20.4 meV/atom
formation energy from raw total energies: -70.9 kJ/mol of atoms
uncorrected energy: -2.661 eV per atom

abc: 7.4853 7.4853 7.6175
angles: 88.53 88.53 55.65
Closest atoms and distances in Å follow each position.
Atoms (fractional coordinates):
Na 0.0000 0.5000 0.5000  4 Cl 2.76
Na 0.5000 0.0000 0.0000  4 Cl 2.76
Ag 0.2506 0.7494 0.7500  4 Cl 2.34-2.35
Ag 0.7494 0.2506 0.2500  4 Cl 2.34-2.35
Cl 0.5768 0.0786 0.3327  1 Ag 2.35
Cl 0.2077 0.7076 0.4532  1 Ag 2.34
Cl 0.7923 0.2924 0.5468  1 Ag 2.34
Cl 0.0786 0.5768 0.8327  1 Ag 2.35
Cl 0.9214 0.4232 0.1673  1 Ag 2.35
Cl 0.2924 0.7923 0.0468  1 Ag 2.34
Cl 0.7076 0.2077 0.9532  1 Ag 2.34
Cl 0.4232 0.9214 0.6673  1 Ag 2.35